# Sr3LiCo2O6, relaxed, DFT PBE with a Hubbard U
data_Sr3LiCo2O6
_symmetry_space_group_name_H-M 'P -3 m 1'
_symmetry_Int_Tables_number 164
_symmetry_space_group_name_Hall '-P 3 2"'
_cell_length_a 5.8490
_cell_length_b 5.8490
_cell_length_c 6.3689
_cell_angle_alpha 90.00
_cell_angle_beta 90.00
_cell_angle_gamma 120.00
loop_
_atom_site_label
_atom_site_fract_x
_atom_site_fract_y
_atom_site_fract_z
Sr1 0.0000 0.0000 0.0000
Sr2 0.3333 0.6667 0.6527
Li1 0.0000 0.0000 0.5000
Co1 0.3333 0.6667 0.2058
O1 0.1655 0.3311 0.2885
# * VASP energy: -5.6632 eV per atom

***

# LiTaCo2O6, relaxed, DFT PBE with a Hubbard U
data_LiTaCo2O6
_symmetry_space_group_name_H-M 'P 1'
_symmetry_Int_Tables_number 1
_cell_length_a 5.062
_cell_length_b 5.070
_cell_length_c 5.531
_cell_angle_alpha 62.76
_cell_angle_beta 62.88
_cell_angle_gamma 60.13
loop_
_symmetry_equiv_pos_as_xyz
'x,y,z'
loop_
_atom_site_label
_atom_site_fract_x
_atom_site_fract_y
_atom_site_fract_z
Li1 0.000 0.000 0.000
Ta1 0.509 0.516 0.464
Co1 0.208 0.207 0.380
Co2 0.712 0.718 0.852
O1 0.120 0.816 0.642
O2 0.331 0.568 0.170
O3 0.420 0.122 0.638
O4 0.564 0.934 0.169
O5 0.817 0.430 0.634
O6 0.931 0.326 0.175
# * VASP energy: -7.0797 eV per atom

***

# Li2TbCoO4, relaxed, DFT PBE with a Hubbard U
data_Li2TbCoO4
_symmetry_space_group_name_H-M 'C m c m'
_symmetry_Int_Tables_number 63
_symmetry_space_group_name_Hall '-C 2c 2'
_cell_length_a 3.253
_cell_length_b 11.357
_cell_length_c 9.589
_cell_angle_alpha 90.00
_cell_angle_beta 90.00
_cell_angle_gamma 90.00
loop_
_atom_site_label
_atom_site_fract_x
_atom_site_fract_y
_atom_site_fract_z
Li1 0.000 0.097 0.038
Tb1 0.000 0.429 0.250
Co1 0.000 0.301 0.750
O1 0.000 0.085 0.250
O2 0.000 0.189 0.621
O3 0.000 0.500 0.000
# * VASP energy: -6.0973 eV per atom

***

# LiCoTc2O8, relaxed, DFT PBE with a Hubbard U
data_LiCoTc2O8
_symmetry_space_group_name_H-M 'P -3 m 1'
_symmetry_Int_Tables_number 164
_symmetry_space_group_name_Hall '-P 3 2"'
_cell_length_a 5.8573
_cell_length_b 5.8573
_cell_length_c 5.4451
_cell_angle_alpha 90.00
_cell_angle_beta 90.00
_cell_angle_gamma 120.00
loop_
_atom_site_label
_atom_site_fract_x
_atom_site_fract_y
_atom_site_fract_z
Li1 0.0000 0.0000 0.0000
Co1 0.0000 0.0000 0.5000
Tc1 0.3333 0.6667 0.6547
O1 0.1648 0.3297 0.7435
O2 0.3333 0.6667 0.3403
# * VASP energy: -6.9635 eV per atom

***

# Li2CoTeO4, relaxed, DFT PBE with a Hubbard U
data_Li2CoTeO4
_symmetry_space_group_name_H-M 'I m m a'
_symmetry_Int_Tables_number 74
_symmetry_space_group_name_Hall '-I 2b 2'
_cell_length_a 5.751
_cell_length_b 5.940
_cell_length_c 10.318
_cell_angle_alpha 90.00
_cell_angle_beta 90.00
_cell_angle_gamma 90.00
loop_
_atom_site_label
_atom_site_fract_x
_atom_site_fract_y
_atom_site_fract_z
Li1 0.000 0.000 0.000
Li2 0.250 0.250 0.250
Co1 0.000 0.000 0.500
Te1 0.250 0.250 0.750
O1 0.000 0.024 0.312
O2 0.229 0.250 0.512
# * VASP energy: -5.0803 eV per atom

***

# Li3Co4TeO8, relaxed, DFT PBE with a Hubbard U
data_Li3Co4TeO8
_symmetry_space_group_name_H-M 'C 1 2/m 1'
_symmetry_Int_Tables_number 12
_cell_length_a 10.393
_cell_length_b 6.170
_cell_length_c 6.191
_cell_angle_alpha 90.00
_cell_angle_beta 125.59
_cell_angle_gamma 90.00
loop_
_symmetry_equiv_pos_as_xyz
'x,y,z'
'-x,-y,-z'
'-x,y,-z'
'x,-y,z'
'x+1/2,y+1/2,z'
'-x+1/2,-y+1/2,-z'
'-x+1/2,y+1/2,-z'
'x+1/2,-y+1/2,z'
loop_
_atom_site_label
_atom_site_fract_x
_atom_site_fract_y
_atom_site_fract_z
Li1 0.000 0.000 0.000
Li2 0.250 0.250 0.500
Co1 0.000 0.000 0.500
Co2 0.000 0.500 0.000
Co3 0.250 0.250 0.000
Te1 0.000 0.500 0.500
O1 0.003 0.260 0.263
O2 0.245 0.500 0.751
O3 0.250 0.000 0.769
# * VASP energy: -5.5922 eV per atom

***

# Li3Co3TeO8, relaxed, DFT PBE with a Hubbard U
data_Li3Co3TeO8
_symmetry_space_group_name_H-M 'R -3 m'
_symmetry_Int_Tables_number 166
_symmetry_space_group_name_Hall '-R 3 2"'
_cell_length_a 6.0666
_cell_length_b 6.0666
_cell_length_c 14.8501
_cell_angle_alpha 90.00
_cell_angle_beta 90.00
_cell_angle_gamma 120.00
loop_
_atom_site_label
_atom_site_fract_x
_atom_site_fract_y
_atom_site_fract_z
Li1 0.0000 0.5000 0.0000
Co1 0.0000 0.5000 0.5000
Te1 0.0000 0.0000 0.5000
O1 0.0000 0.0000 0.2364
O2 0.0288 0.5144 0.2420
# * VASP energy: -5.6213 eV per atom

***

# Li4Ti3Co3Te2O16, relaxed, DFT PBE with a Hubbard U
data_Li4Ti3Co3Te2O16
_symmetry_space_group_name_H-M 'C 1 m 1'
_symmetry_Int_Tables_number 8
_cell_length_a 10.368
_cell_length_b 5.929
_cell_length_c 10.110
_cell_angle_alpha 90.00
_cell_angle_beta 90.15
_cell_angle_gamma 90.00
loop_
_symmetry_equiv_pos_as_xyz
'x,y,z'
'x,-y,z'
'x+1/2,y+1/2,z'
'x+1/2,-y+1/2,z'
loop_
_atom_site_label
_atom_site_fract_x
_atom_site_fract_y
_atom_site_fract_z
Li1 0.000 0.000 0.000
Li2 0.013 0.000 0.512
Li3 0.172 0.500 0.092
Li4 0.353 0.000 0.584
Ti1 0.333 0.500 0.767
Ti2 0.415 0.241 0.274
Co1 0.098 0.254 0.773
Co2 0.181 0.000 0.292
Te1 0.175 0.500 0.507
Te2 0.331 0.000 0.982
O1 0.005 0.000 0.197
O2 0.008 0.000 0.695
O3 0.036 0.500 0.642
O4 0.095 0.252 0.410
O5 0.162 0.000 0.896
O6 0.180 0.500 0.876
O7 0.261 0.284 0.633
O8 0.271 0.248 0.171
O9 0.342 0.500 0.404
O10 0.357 0.000 0.390
O11 0.410 0.252 0.881
O12 0.496 0.000 0.175
# * VASP energy: -6.6003 eV per atom

***

# Li4V3Co3Te2O16, relaxed, DFT PBE with a Hubbard U
data_Li4V3Co3Te2O16
_symmetry_space_group_name_H-M 'P 1'
_symmetry_Int_Tables_number 1
_cell_length_a 5.895
_cell_length_b 6.062
_cell_length_c 10.283
_cell_angle_alpha 90.08
_cell_angle_beta 90.13
_cell_angle_gamma 119.07
loop_
_symmetry_equiv_pos_as_xyz
'x,y,z'
loop_
_atom_site_label
_atom_site_fract_x
_atom_site_fract_y
_atom_site_fract_z
Li1 0.000 0.000 0.000
Li2 0.004 0.010 0.513
Li3 0.350 0.704 0.923
Li4 0.661 0.343 0.416
V1 0.159 0.815 0.237
V2 0.663 0.832 0.238
V3 0.827 0.657 0.753
Co1 0.175 0.347 0.221
Co2 0.350 0.192 0.731
Co3 0.837 0.191 0.730
Te1 0.335 0.678 0.532
Te2 0.652 0.308 0.015
O1 0.012 0.009 0.325
O2 0.016 0.542 0.333
O3 0.170 0.344 0.616
O4 0.170 0.846 0.620
O5 0.322 0.159 0.106
O6 0.336 0.704 0.125
O7 0.476 0.988 0.335
O8 0.523 0.548 0.328
O9 0.529 0.061 0.872
O10 0.543 0.536 0.851
O11 0.671 0.846 0.619
O12 0.694 0.395 0.628
O13 0.823 0.146 0.111
O14 0.875 0.731 0.127
O15 0.991 0.988 0.814
O16 0.994 0.537 0.847
# * VASP energy: -6.2771 eV per atom

***

# Li2TiCo3O6, relaxed, DFT PBE with a Hubbard U
data_Li2TiCo3O6
_symmetry_space_group_name_H-M 'C 1 2/m 1'
_symmetry_Int_Tables_number 12
_cell_length_a 5.189
_cell_length_b 8.987
_cell_length_c 5.127
_cell_angle_alpha 90.00
_cell_angle_beta 109.83
_cell_angle_gamma 90.00
loop_
_symmetry_equiv_pos_as_xyz
'x,y,z'
'-x,-y,-z'
'-x,y,-z'
'x,-y,z'
'x+1/2,y+1/2,z'
'-x+1/2,-y+1/2,-z'
'-x+1/2,y+1/2,-z'
'x+1/2,-y+1/2,z'
loop_
_atom_site_label
_atom_site_fract_x
_atom_site_fract_y
_atom_site_fract_z
Li1 0.000 0.166 0.000
Ti1 0.000 0.500 0.000
Co1 0.000 0.000 0.500
Co2 0.000 0.329 0.500
O1 0.231 0.500 0.760
O2 0.239 0.342 0.243
# * VASP energy: -6.5261 eV per atom

***

# Li4Ti3Co5O16, relaxed, DFT PBE with a Hubbard U
data_Li4Ti3Co5O16
_symmetry_space_group_name_H-M 'C 1 m 1'
_symmetry_Int_Tables_number 8
_cell_length_a 10.014
_cell_length_b 5.840
_cell_length_c 9.622
_cell_angle_alpha 90.00
_cell_angle_beta 90.25
_cell_angle_gamma 90.00
loop_
_symmetry_equiv_pos_as_xyz
'x,y,z'
'x,-y,z'
'x+1/2,y+1/2,z'
'x+1/2,-y+1/2,z'
loop_
_atom_site_label
_atom_site_fract_x
_atom_site_fract_y
_atom_site_fract_z
Li1 0.000 0.000 0.000
Li2 0.007 0.000 0.501
Li3 0.156 0.500 0.599
Li4 0.321 0.000 0.101
Ti1 0.321 0.500 0.278
Ti2 0.400 0.246 0.776
Co1 0.078 0.252 0.283
Co2 0.154 0.500 0.002
Co3 0.160 0.000 0.789
Co4 0.333 0.000 0.500
O1 0.012 0.500 0.171
O2 0.074 0.251 0.898
O3 0.157 0.000 0.379
O4 0.157 0.500 0.389
O5 0.231 0.276 0.162
O6 0.253 0.229 0.657
O7 0.324 0.000 0.894
O8 0.330 0.500 0.898
O9 0.421 0.260 0.389
O10 0.478 0.000 0.667
O11 0.497 0.500 0.186
O12 0.497 0.500 0.689
# * VASP energy: -6.6675 eV per atom

***

# Li2Ti3CoO8, relaxed, DFT PBE with a Hubbard U
data_Li2Ti3CoO8
_symmetry_space_group_name_H-M 'P 21 3'
_symmetry_Int_Tables_number 198
_symmetry_space_group_name_Hall 'P 2ac 2ab 3'
_cell_length_a 8.449
_cell_length_b 8.449
_cell_length_c 8.449
_cell_angle_alpha 90.00
_cell_angle_beta 90.00
_cell_angle_gamma 90.00
loop_
_atom_site_label
_atom_site_fract_x
_atom_site_fract_y
_atom_site_fract_z
Li1 0.003 0.497 0.503
Li2 0.124 0.876 0.376
Ti1 0.121 0.627 0.134
Co1 0.248 0.748 0.752
O1 0.107 0.128 0.390
O2 0.112 0.612 0.888
O3 0.123 0.145 0.859
O4 0.139 0.361 0.639
# * ΔE to the lowest computed polymorph: 0.0 meV per atom

***

# Li3TiCo3O8, relaxed, DFT PBE with a Hubbard U
data_Li3TiCo3O8
_symmetry_space_group_name_H-M 'R -3 m'
_symmetry_Int_Tables_number 166
_symmetry_space_group_name_Hall '-R 3 2"'
_cell_length_a 5.6928
_cell_length_b 5.6928
_cell_length_c 14.6799
_cell_angle_alpha 90.00
_cell_angle_beta 90.00
_cell_angle_gamma 120.00
loop_
_atom_site_label
_atom_site_fract_x
_atom_site_fract_y
_atom_site_fract_z
Li1 0.0000 0.5000 0.0000
Ti1 0.0000 0.0000 0.5000
Co1 0.0000 0.5000 0.5000
O1 0.0000 0.0000 0.2370
O2 0.0008 0.5004 0.7611
# * ΔE to the lowest computed polymorph: 9.5 meV per atom

***

# Li2Ti3CoO8, relaxed, DFT PBE with a Hubbard U
data_Li2Ti3CoO8
_symmetry_space_group_name_H-M 'P 1 21 1'
_symmetry_Int_Tables_number 4
_cell_length_a 5.952
_cell_length_b 9.818
_cell_length_c 5.953
_cell_angle_alpha 90.00
_cell_angle_beta 119.98
_cell_angle_gamma 90.00
loop_
_symmetry_equiv_pos_as_xyz
'x,y,z'
'-x,y+1/2,-z'
loop_
_atom_site_label
_atom_site_fract_x
_atom_site_fract_y
_atom_site_fract_z
Li1 0.001 0.000 0.000
Li2 0.333 0.904 0.667
Ti1 0.126 0.219 0.788
Ti2 0.213 0.220 0.338
Ti3 0.337 0.719 0.125
Co1 0.333 0.496 0.667
O1 0.001 0.315 0.000
O2 0.030 0.335 0.513
O3 0.159 0.607 0.839
O4 0.160 0.607 0.319
O5 0.320 0.107 0.159
O6 0.334 0.113 0.667
O7 0.484 0.335 0.971
O8 0.487 0.335 0.516
# * ΔE to the lowest computed polymorph: 45.6 meV per atom